Material: Cs2NpTe3
Method: DFT, PBE-GGA
State: relaxed

CIF file:
```
data_Cs2NpTe3
_chemical_formula_sum 'Cs8 Np4 Te12'
_symmetry_space_group_name_H-M 'C 1 2/m 1'
_symmetry_Int_Tables_number 12
_symmetry_space_group_name_Hall '-C 2y'
_cell_length_a 8.3821
_cell_length_b 14.4809
_cell_length_c 9.3610
_cell_angle_alpha 90.00
_cell_angle_beta 107.79
_cell_angle_gamma 90.00
loop_
_atom_site_label
_atom_site_fract_x
_atom_site_fract_y
_atom_site_fract_z
Cs1 0.0000 0.0000 0.0000
Cs2 0.0000 0.1499 0.5000
Cs3 0.0000 0.5000 0.5000
Np1 0.0000 0.3319 0.0000
Te1 0.1759 0.5000 0.1903
Te2 0.2367 0.3046 0.8037
```

Spin magnetization   12.00 μB/cell
E   -4.90 eV/atom
Formation energy from raw total energies   -887 meV per atom
Calculated volume   45.1 A^3/atom

=====

Material: K2ZrSe
Method: DFT, PBE-GGA
State: relaxed

CIF file:
```
data_K2ZrSe
_chemical_formula_sum 'K2 Zr1 Se1'
_symmetry_space_group_name_H-M 'P 4/m m m'
_symmetry_Int_Tables_number 123
_symmetry_space_group_name_Hall '-P 4 2'
_cell_length_a 3.2486
_cell_length_b 3.2486
_cell_length_c 11.6442
_cell_angle_alpha 90.00
_cell_angle_beta 90.00
_cell_angle_gamma 90.00
loop_
_atom_site_label
_atom_site_fract_x
_atom_site_fract_y
_atom_site_fract_z
K1 0.0000 0.0000 0.1977
Zr1 0.5000 0.5000 0.5000
Se1 0.5000 0.5000 0.0000
```

Spin magnetization   0.00 μB/cell
E   -3.37 eV/atom
Formation energy from raw total energies   185 meV per atom
Calculated volume   30.7 A^3/atom